Record 1
The following is a DFT calculation (PBE) of Na3SrP after structural relaxation.

The energy above the lowest structure with this stoichiometry is 1.1502 eV/atom.

The structure belongs to space group Pm-3m (No. 221); the cell edges are 6.223, 6.223 and 6.223 Å and the angles 90.00°, 90.00° and 90.00°. The inequivalent atoms are Na at (0.000, 0.000, 0.500), Sr at (0.000, 0.000, 0.000) and P at (0.500, 0.500, 0.500).

***

Record 2
The following is a DFT calculation (PBE) of TiV3 after structural relaxation.

The structure belongs to space group Imm2 (No. 44); the cell edges are 2.442, 9.176 and 5.164 Å and the angles 90.00°, 90.00° and 90.00°. The inequivalent atoms are Ti at (0.000, 0.000, 0.000), V at (0.000, 0.249, 0.262) and V at (0.000, 0.500, 0.004).

***

Record 3
The following is a DFT calculation (PBE) of BaAs2Ru after structural relaxation.

The structure belongs to space group Fm-3m (No. 225); the cell edges are 7.020, 7.020 and 7.020 Å and the angles 90.00°, 90.00° and 90.00°. The inequivalent atoms are Ba at (0.000, 0.000, 0.000), As at (0.250, 0.250, 0.250) and Ru at (0.000, 0.000, 0.500).

***

Record 4
The following is a DFT calculation (PBE) of La3Al2In4 after structural relaxation.

The structure belongs to space group C2/m (No. 12); the cell edges are 11.566, 4.896 and 9.299 Å and the angles 90.00°, 112.84° and 90.00°. The inequivalent atoms are La at (0.000, 0.000, 0.000), La at (0.167, 0.500, 0.666), Al at (0.102, 0.500, 0.274), In at (0.071, 0.000, 0.400) and In at (0.201, 0.500, 0.042).

***

Record 5
The following is a DFT calculation (PBE) of Sm4Tl3Ir after structural relaxation.

The structure belongs to space group P4/mmm (No. 123); the cell edges are 3.621, 3.621 and 16.482 Å and the angles 90.00°, 90.00° and 90.00°. The inequivalent atoms are Sm at (0.000, 0.000, 0.100), Sm at (0.000, 0.000, 0.368), Tl at (0.500, 0.500, 0.240), Tl at (0.500, 0.500, 0.500) and Ir at (0.500, 0.500, 0.000).

***

Record 6
The following is a DFT calculation (PBE) of ScInAsBr2 after structural relaxation.

The energy above the lowest structure with this stoichiometry is 0.0000 eV/atom.

The structure belongs to space group P4/mmm (No. 123); the cell edges are 5.251, 5.251 and 5.441 Å and the angles 90.00°, 90.00° and 90.00°. The inequivalent atoms are Sc at (0.000, 0.000, 0.000), In at (0.500, 0.500, 0.500), As at (0.000, 0.000, 0.500) and Br at (0.000, 0.500, 0.000).

***

Record 7
The following is a DFT calculation (PBE) of CaNbTe2I after structural relaxation.

The energy above the lowest structure with this stoichiometry is 0.0000 eV/atom.

The structure belongs to space group P4/mmm (No. 123); the cell edges are 5.504, 5.504 and 5.699 Å and the angles 90.00°, 90.00° and 90.00°. The inequivalent atoms are Ca at (0.000, 0.000, 0.000), Nb at (0.500, 0.500, 0.500), Te at (0.000, 0.500, 0.500) and I at (0.500, 0.500, 0.000).

***

Record 8
The following is a DFT calculation (PBE) of BaAlTe2O8 after structural relaxation.

The structure belongs to space group C2/m (No. 12); the cell edges are 8.586, 5.917 and 7.825 Å and the angles 90.00°, 91.39° and 90.00°. The inequivalent atoms are Ba at (0.000, 0.000, 0.000), Al at (0.000, 0.000, 0.500), Te at (0.120, 0.500, 0.323), O at (0.008, 0.219, 0.317), O at (0.192, 0.500, 0.102) and O at (0.221, 0.000, 0.510).

***

Record 9
The following is a DFT calculation (PBE) of Th2CuPdPt after structural relaxation.

The structure belongs to space group P2_1/m (No. 11); the cell edges are 7.207, 4.396 and 7.367 Å and the angles 90.00°, 106.87° and 90.00°. The inequivalent atoms are Th at (0.147, 0.250, 0.362), Th at (0.302, 0.250, 0.925), Cu at (0.457, 0.750, 0.361), Pd at (0.304, 0.750, 0.658) and Pt at (0.126, 0.750, 0.085).

***

Record 10
The following is a DFT calculation (PBE) of Ac4TlPbI2 after structural relaxation.

The structure belongs to space group P2/m (No. 10); the cell edges are 8.176, 4.956 and 8.574 Å and the angles 90.00°, 110.55° and 90.00°. The inequivalent atoms are Ac at (0.221, 0.000, 0.236), Ac at (0.224, 0.500, 0.746), Tl at (0.000, 0.500, 0.000), Pb at (0.000, 0.000, 0.500), I at (0.500, 0.000, 0.000) and I at (0.500, 0.500, 0.500).

***

Record 11
The following is a DFT calculation (PBE) of BaNaCaZn after structural relaxation.

The energy above the lowest structure with this stoichiometry is 0.0000 eV/atom.

The structure belongs to space group P4mm (No. 99); the cell edges are 3.936, 3.936 and 9.414 Å and the angles 90.00°, 90.00° and 90.00°. The inequivalent atoms are Ba at (0.000, 0.000, 0.000), Na at (0.500, 0.500, 0.328), Ca at (0.000, 0.000, 0.604) and Zn at (0.500, 0.500, 0.774).

***

Record 12
The following is a DFT calculation (PBE) of UPaIr2 after structural relaxation.

The energy above the lowest structure with this stoichiometry is 0.0270 eV/atom.

The structure belongs to space group P4/mmm (No. 123); the cell edges are 3.419, 3.419 and 6.932 Å and the angles 90.00°, 90.00° and 90.00°. The inequivalent atoms are U at (0.000, 0.000, 0.000), Pa at (0.000, 0.000, 0.500) and Ir at (0.500, 0.500, 0.243).

***

no.,magnetic moment (μB/cell),final energy (eV/atom)
1,0.00,-1.116
2,0.00,-8.656
3,0.00,-5.021
4,0.00,-4.170
5,0.00,-4.810
6,0.01,-4.112
7,1.62,-4.286
8,0.00,-5.904
9,0.00,-6.747
10,0.00,-3.938
11,0.00,-1.719
12,2.49,-10.108